(1)
The following is a DFT calculation (PBE-GGA) of a geometry-optimized TlIrAu3 structure.

a b c (Å): 5.1377 5.1377 5.1377
angles (deg): 90.00 90.00 90.00
Space group Pm-3m (No. 221)
Symmetry-distinct sites (fractional):
Tl 0.0000 0.0000 0.0000 (multiplicity 1)
Ir 0.5000 0.5000 0.5000 (multiplicity 1)
Au 0.0000 0.0000 0.5000 (multiplicity 3)

formation energy: 1.6620 eV per atom
calculated volume: 135.6 Å³/cell
DFT total energy: -12.749 eV per cell
offset from the most stable computed form: 983 meV per atom

***

(2)
The following is a DFT calculation (PBE-GGA) of a geometry-optimized Mg2ZnCu structure.

a b c (Å): 4.0953 4.0953 7.9264
angles (deg): 90.00 90.00 90.00
Space group I-4m2 (No. 119)
Symmetry-distinct sites (fractional):
Mg 0.0000 0.0000 0.0000 (multiplicity 2)
Mg 0.0000 0.5000 0.2500 (multiplicity 2)
Zn 0.0000 0.5000 0.7500 (multiplicity 2)
Cu 0.0000 0.0000 0.5000 (multiplicity 2)

formation energy: -0.0236 eV per atom
calculated volume: 132.9 Å³/cell
DFT total energy: -17.307 eV per cell

***

Q: What is the calculated volume in the first record?
A: 135.6 Å³/cell